Here is an optimized crystal structure of V2SO8 from the Alexandria database. Energies are from PBE with a Hubbard U.

The structure in CIF format:
```
data_V2SO8
_cell_length_a 5.881
_cell_length_b 13.733
_cell_length_c 10.053
_cell_angle_alpha 90.00
_cell_angle_beta 90.00
_cell_angle_gamma 90.00
_space_group_name_H-M_alt 'P n m a'
_space_group_IT_number 62
_space_group_name_Hall '-P 2ac 2n'
loop_
_atom_site_label
_atom_site_type_symbol
_atom_site_fract_x
_atom_site_fract_y
_atom_site_fract_z
V1 V 0.237 0.050 0.150
S1 S 0.073 0.750 0.526
O1 O 0.021 0.750 0.388
O2 O 0.024 0.543 0.757
O3 O 0.105 0.250 0.375
O4 O 0.242 0.663 0.555
O5 O 0.246 0.539 0.046
```

Calculated values
The calculation puts the total energy at -6.870 eV per atom. As for the energy relative to the lowest polymorph listed for this composition: 0.00 eV per formula unit.